Entry 1:
First-principles (GGA-PBEsol) data for a relaxed ZnIn2Sb crystal, as listed in Alexandria via LeMat-Bulk.

Structure (POSCAR):
```
ZnIn2Sb
1.0
3.0743 0.0000 0.0000
0.0000 3.8335 0.0000
-0.0084 0.0000 8.0348
Zn In Sb
1 2 1
direct
0.0000 0.0000 0.0000
0.0001 0.0000 0.4620
0.5001 0.5000 0.1944
0.0001 0.5000 0.7556
```

Computed properties:
The crystal system is monoclinic. The space group is Pm (6). Its uncorrected formation energy is 0.29 eV/f.u.


Entry 2:
First-principles (GGA-PBEsol) data for a relaxed ZnInSb2 crystal, as listed in Alexandria via LeMat-Bulk.

Structure (POSCAR):
```
ZnInSb2
1.0
3.1892 0.0000 0.0000
0.0000 5.0382 0.0000
-0.0114 0.0000 6.3109
Zn In Sb
1 1 2
direct
0.0000 0.0000 0.0000
0.4988 0.5000 0.7958
0.9996 0.5000 0.2022
0.4961 0.0000 0.5793
```

Computed properties:
The crystal system is monoclinic. The space group is Pm (6). Its uncorrected formation energy is 0.48 eV/f.u.


Entry 3:
First-principles (GGA-PBEsol) data for a relaxed ZnInSb2 crystal, as listed in Alexandria via LeMat-Bulk.

Structure (POSCAR):
```
ZnInSb2
1.0
3.1649 -4.7624 0.0000
3.1649 4.7624 0.0000
-0.8854 0.0000 3.1691
Zn In Sb
1 1 2
direct
0.0000 0.0000 0.0000
0.5000 0.5000 0.0000
0.0000 0.5000 0.5000
0.5000 0.0000 0.5000
```

Computed properties:
The crystal system is monoclinic. The space group is C2/m (12). Its uncorrected formation energy is 0.74 eV/f.u.


Entry 4:
First-principles (GGA-PBEsol) data for a relaxed ScIn crystal, as listed in Alexandria via LeMat-Bulk.

Structure (POSCAR):
```
ScIn
1.0
-2.1062 2.1062 4.9841
2.1062 -2.1062 4.9841
2.1062 2.1062 -4.9841
Sc In
2 2
direct
0.3750 0.6250 0.7500
0.6250 0.3750 0.2500
0.1250 0.8750 0.2500
0.8750 0.1250 0.7500
```

Computed properties:
The crystal system is tetragonal. The calculation puts the calculated formation energy at -0.41 eV per atom. The space group is I4_1/amd (141).


Entry 5:
First-principles (GGA-PBEsol) data for a relaxed Sc5In crystal, as listed in Alexandria via LeMat-Bulk.

Structure (POSCAR):
```
Sc5In
1.0
5.0110 0.0000 0.0000
0.0000 1.6428 8.3144
0.0000 -1.6428 8.3144
Sc In
5 1
direct
0.0000 0.0000 0.0000
0.0000 0.3246 0.3246
0.0000 0.6613 0.6613
0.5000 0.2125 0.2125
0.5000 0.8788 0.8788
0.5000 0.5500 0.5500
```

Computed properties:
The crystal system is orthorhombic. The calculation puts the calculated formation energy at -0.17 eV per atom. The space group is Amm2 (38).


Entry 6:
First-principles (GGA-PBEsol) data for a relaxed ScIn3 crystal, as listed in Alexandria via LeMat-Bulk.

Structure (POSCAR):
```
ScIn3
1.0
4.4416 0.0000 0.0000
0.0000 4.4416 0.0000
0.0000 0.0000 4.4416
Sc In
1 3
direct
0.0000 0.0000 0.0000
0.0000 0.5000 0.5000
0.5000 0.0000 0.5000
0.5000 0.5000 0.0000
```

Computed properties:
The crystal system is cubic. The calculation puts the calculated formation energy at -0.37 eV per atom. The space group is Pm-3m (221).